Computed, not measured: a geometry-optimized HfFeNi2H structure at the PBE-GGA level of DFT.

raw total energy: -6.86 eV/atom
SG: No. 123
ΔE to the lowest computed polymorph: 0.36 eV/f.u.
total magnetization: 1.31 μB per cell
D(E_F): 3.89 states/eV per cell

a b c (Å): 3.6468 3.6468 4.1157
angles (deg): 90.00 90.00 90.00
Positions (direct):
Hf 0.0000 0.0000 0.5000
Ni 0.0000 0.5000 0.0000
Fe 0.5000 0.5000 0.5000
H 0.0000 0.0000 0.0000
Ni 0.5000 0.0000 0.0000